LaPmTm2 | PBE | relaxed

Output
The polymorph energy (0 for the lowest one) is 9 meV per atom. The formation energy from the elements comes out at 0.1 eV per formula unit. The value obtained for the total energy is -4.628 eV/atom. The calculation puts the density of states at the Fermi level at 28.1 states/eV per cell.

abc: 7.305 6.301 13.133
angles: 118.72 90.00 90.00
Fractional coordinates of all 16 atoms:
1 La 0.500 0.045 0.375
2 La 0.500 0.955 0.625
3 La 0.500 0.455 0.125
4 La 0.500 0.545 0.875
5 Pm 0.245 0.457 0.623
6 Pm 0.755 0.543 0.377
7 Pm 0.245 0.043 0.877
8 Pm 0.755 0.957 0.123
9 Tm 0.760 0.041 0.873
10 Tm 0.240 0.959 0.127
11 Tm 0.760 0.459 0.627
12 Tm 0.240 0.541 0.373
13 Tm 0.000 0.460 0.125
14 Tm 0.000 0.540 0.875
15 Tm 0.000 0.040 0.375
16 Tm 0.000 0.960 0.625